Here is Pm3RuC3 after structural relaxation from the Alexandria database. Energies are from GGA-PBE.

Calculated values
Total DFT energy (no corrections): -7.50 eV/atom

Lattice parameters (Å, degrees): 8.850 10.721 5.295 90.00 90.00 90.00
Space group Cmcm (No. 63)
One atom of each set of equivalent atoms:
Pm: 0.000 0.108 0.250 [4 per cell]
Pm: 0.212 0.379 0.250 [8 per cell]
Ru: 0.000 0.304 0.750 [4 per cell]
C: 0.000 0.122 0.750 [4 per cell]
C: 0.201 0.372 0.750 [8 per cell]


Here is MgTi2SnC after structural relaxation from the Alexandria database. Energies are from GGA-PBE.

Calculated values
Total DFT energy (no corrections): -6.48 eV/atom

Lattice parameters (Å, degrees): 4.275 4.275 4.339 90.00 90.00 90.00
Space group P4/mmm (No. 123)
One atom of each set of equivalent atoms:
Mg: 0.000 0.000 0.000 [1 per cell]
Ti: 0.000 0.500 0.500 [2 per cell]
Sn: 0.500 0.500 0.000 [1 per cell]
C: 0.000 0.000 0.500 [1 per cell]


Here is TbTl2Pb5 after structural relaxation from the Alexandria database. Energies are from GGA-PBE.

Calculated values
Total DFT energy (no corrections): -3.58 eV/atom

Lattice parameters (Å, degrees): 8.005 8.005 7.549 90.00 90.00 90.00
Space group I4/mmm (No. 139)
One atom of each set of equivalent atoms:
Tb: 0.000 0.000 0.000 [2 per cell]
Tl: 0.000 0.500 0.000 [4 per cell]
Pb: 0.000 0.000 0.500 [2 per cell]
Pb: 0.250 0.250 0.250 [8 per cell]


Here is RbUFeS3 after structural relaxation from the Alexandria database. Energies are from GGA-PBE.

Calculated values
Total DFT energy (no corrections): -6.62 eV/atom

Lattice parameters (Å, degrees): 9.143 3.854 9.343 90.00 112.65 90.00
Space group P2_1/m (No. 11)
One atom of each set of equivalent atoms:
Rb: 0.205 0.250 0.239 [2 per cell]
U: 0.319 0.750 0.836 [2 per cell]
Fe: 0.085 0.250 0.586 [2 per cell]
S: 0.123 0.250 0.848 [2 per cell]
S: 0.179 0.750 0.527 [2 per cell]
S: 0.465 0.750 0.153 [2 per cell]


Here is Ac3CeRh3 after structural relaxation from the Alexandria database. Energies are from GGA-PBE.

Calculated values
Total DFT energy (no corrections): -6.38 eV/atom
Energy relative to the lowest polymorph listed for this composition: 0.0 kJ per mole of atoms

Lattice parameters (Å, degrees): 11.893 11.893 11.893 90.00 90.00 90.00
Space group I4_132 (No. 214)
One atom of each set of equivalent atoms:
Ac: 0.120 0.375 0.370 [24 per cell]
Ce: 0.125 0.125 0.125 [8 per cell]
Rh: 0.119 0.369 0.125 [24 per cell]


Here is CeTl2GaCl6 after structural relaxation from the Alexandria database. Energies are from GGA-PBE.

Calculated values
Total DFT energy (no corrections): -3.92 eV/atom

Lattice parameters (Å, degrees): 7.536 8.056 13.043 90.00 123.37 90.00
Space group P2_1/c (No. 14)
One atom of each set of equivalent atoms:
Ce: 0.000 0.000 0.000 [2 per cell]
Tl: 0.286 0.072 0.759 [4 per cell]
Ga: 0.500 0.000 0.500 [2 per cell]
Cl: 0.118 0.046 0.240 [4 per cell]
Cl: 0.245 0.714 0.067 [4 per cell]
Cl: 0.351 0.182 0.051 [4 per cell]


Repeat the fourth record exactly.
Here is RbUFeS3 after structural relaxation from the Alexandria database. Energies are from GGA-PBE.

Calculated values
Total DFT energy (no corrections): -6.62 eV/atom

Lattice parameters (Å, degrees): 9.143 3.854 9.343 90.00 112.65 90.00
Space group P2_1/m (No. 11)
One atom of each set of equivalent atoms:
Rb: 0.205 0.250 0.239 [2 per cell]
U: 0.319 0.750 0.836 [2 per cell]
Fe: 0.085 0.250 0.586 [2 per cell]
S: 0.123 0.250 0.848 [2 per cell]
S: 0.179 0.750 0.527 [2 per cell]
S: 0.465 0.750 0.153 [2 per cell]


Q: Which value of total DFT energy (no corrections) does entry 4 give?
A: -6.62 eV/atom


Q: total DFT energy (no corrections) of number 1 (Pm3RuC3)?
A: -7.50 eV/atom


Q: total DFT energy (no corrections) of number 5 (Ac3CeRh3)?
A: -6.38 eV/atom